HoAgAu: optimized geometry, PBE.

Summary:
ΔE to the lowest computed polymorph (meV/atom): 4
Space-group type: No. 63
Calculated total energy (eV/atom): -4.1863
M_tot (Bohr magnetons per cell): 0.000
E_form (eV per formula unit): -1.85
DOS at the Fermi energy (states/eV per atom): 0.657

abc: 5.2834 5.2834 5.8653
angles: 90.00 90.00 127.52
Sites, in units of the cell vectors:
Ho (0.1940, 0.8060, 0.7500)
Ho (0.8060, 0.1940, 0.2500)
Ag (0.5000, 0.5000, 0.0000)
Ag (0.5000, 0.5000, 0.5000)
Au (0.1201, 0.8799, 0.2500)
Au (0.8799, 0.1201, 0.7500)